Record 1
First-principles (PBE-GGA) data for a relaxed structure of CaNd2Y3Te6, as listed in the Alexandria database.

Cell lengths 19.3741, 4.4128, 8.9025 Å; angles 90.00, 103.61, 90.00 degrees
Closest atoms and distances in Å follow each position.
Space group C2/m (No. 12)
Inequivalent atoms, fractional coordinates:
Ca 0.0000 0.0000 0.0000 x2  6 Te 3.13-3.15
Nd 0.1728 0.5000 0.3441 x4  6 Te 3.13-3.28
Y 0.0000 0.0000 0.5000 x2  6 Te 3.03-3.12
Y 0.1698 0.5000 0.8285 x4  6 Te 3.05-3.17
Te 0.0012 0.5000 0.7487 x4  3 Y 3.12-3.17, 2 Ca 3.15, 1 Nd 3.28
Te 0.1611 0.0000 0.5889 x4  3 Y 3.03-3.05, 3 Nd 3.13-3.15
Te 0.1660 0.0000 0.0755 x4  3 Y 3.09-3.13, 1 Ca 3.13, 2 Nd 3.23

Computed properties:
The calculation puts the calculated volume at 30.82 Å³/atom. For the formation energy without anion corrections, the calculation gives -1.41 eV/atom. As for the calculated density: 6.1 g/cm3.

=====

Record 2
First-principles (PBE-GGA) data for a relaxed structure of CaCrCl2, as listed in the Alexandria database.

Cell lengths 3.3919, 3.3919, 10.7230 Å; angles 90.00, 90.00, 90.00 degrees
Closest atoms and distances in Å follow each position.
Space group P4/mmm (No. 123)
Inequivalent atoms, fractional coordinates:
Ca 0.0000 0.0000 0.0000 x1  8 Cl 2.87
Cr 0.0000 0.0000 0.5000 x1  4 Cr 3.39
Cl 0.5000 0.5000 0.1469 x2  4 Ca 2.87, 1 Cl 3.15

Computed properties:
The calculation puts the calculated volume at 30.84 Å³/atom. The relative energy among the computed polymorphs is 0.109 eV per atom. For the formation energy without anion corrections, the calculation gives -0.82 eV/atom. As for the calculated density: 2.2 g/cm3.

=====

Record 3
First-principles (PBE-GGA) data for a relaxed structure of HfTiPO2, as listed in the Alexandria database.

Cell lengths 3.9461, 3.9461, 5.4176 Å; angles 90.00, 90.00, 90.00 degrees
Closest atoms and distances in Å follow each position.
Space group P4/mmm (No. 123)
Inequivalent atoms, fractional coordinates:
Hf 0.0000 0.0000 0.0000 x1  4 O 1.97
Ti 0.5000 0.5000 0.5000 x1  4 P 2.79
P 0.0000 0.0000 0.5000 x1  2 Hf 2.71, 4 Ti 2.79
O 0.0000 0.5000 0.0000 x2  2 Hf 1.97

Computed properties:
The calculation puts the calculated volume at 16.87 Å³/atom. The relative energy among the computed polymorphs is 0.062 eV per atom. For the formation energy without anion corrections, the calculation gives -1.61 eV/atom. As for the calculated density: 5.7 g/cm3.

=====

Record 4
First-principles (PBE-GGA) data for a relaxed structure of K2CdSb2, as listed in the Alexandria database.

Cell lengths 3.5094, 3.5094, 16.3074 Å; angles 90.00, 90.00, 90.00 degrees
Closest atoms and distances in Å follow each position.
Space group P4/mmm (No. 123)
Inequivalent atoms, fractional coordinates:
K 0.0000 0.0000 0.1263 x2  1 Sb 3.35, 4 K 3.51
Cd 0.0000 0.0000 0.5000 x1  2 Sb 2.75
Sb 0.0000 0.0000 0.3315 x2  1 Cd 2.75

Computed properties:
The calculation puts the calculated volume at 40.17 Å³/atom. The relative energy among the computed polymorphs is 0.591 eV per atom. For the formation energy without anion corrections, the calculation gives 0.20 eV/atom. As for the calculated density: 3.6 g/cm3.

=====

Record 5
First-principles (PBE-GGA) data for a relaxed structure of Pm4YHo2Mg, as listed in the Alexandria database.

Cell lengths 5.7305, 5.7305, 7.7969 Å; angles 90.00, 90.00, 90.00 degrees
Closest atoms and distances in Å follow each position.
Space group P4/mmm (No. 123)
Inequivalent atoms, fractional coordinates:
Pm 0.0000 0.5000 0.2368 x4  2 Mg 3.41, 4 Ho 3.41-3.52, 2 Y 3.52, 1 Pm 3.69
Y 0.0000 0.0000 0.5000 x1  8 Pm 3.52, 2 Ho 3.90
Ho 0.0000 0.0000 0.0000 x1  8 Pm 3.41
Ho 0.5000 0.5000 0.5000 x1  8 Pm 3.52, 2 Mg 3.90
Mg 0.5000 0.5000 0.0000 x1  8 Pm 3.41

Computed properties:
The calculation puts the calculated volume at 32.00 Å³/atom. The calculated formation energy is 39 kJ/mol of formula units. As for the calculated density: 6.6 g/cm3.

=====

Record 6
First-principles (PBE-GGA) data for a relaxed structure of Mn2Fe2Rh15, as listed in the Alexandria database.

Cell lengths 8.7744, 8.7744, 13.3203 Å; angles 90.00, 90.00, 120.00 degrees
Closest atoms and distances in Å follow each position.
Space group R-3m (No. 166, hexagonal axes)
Inequivalent atoms, fractional coordinates:
Mn 0.0000 0.0000 0.1002 x6  1 Fe 2.66, 1 Mn 2.67, 6 Rh 2.68-2.79
Fe 0.0000 0.0000 0.2998 x6  1 Mn 2.66, 3 Rh 2.97
Rh 0.0000 0.3044 0.0000 x18  8 Rh 2.60-2.82
Rh 0.0000 0.5000 0.5000 x9  8 Rh 2.56-2.60, 2 Mn 2.68
Rh 0.0028 0.5014 0.1480 x18  8 Rh 2.56-2.82, 1 Mn 2.79

Computed properties:
The calculation puts the calculated volume at 15.58 Å³/atom. The calculated formation energy is 604 kJ/mol of formula units. As for the calculated density: 9.9 g/cm3.

=====

Record 7
First-principles (PBE-GGA) data for a relaxed structure of Sm3Dy3CuS8, as listed in the Alexandria database.

Cell lengths 7.8370, 7.8370, 19.2829 Å; angles 90.00, 90.00, 120.00 degrees
Closest atoms and distances in Å follow each position.
Space group R-3m (No. 166, hexagonal axes)
Inequivalent atoms, fractional coordinates:
Sm 0.0000 0.5000 0.0000 x9  6 S 2.81
Dy 0.0000 0.5000 0.5000 x9  6 S 2.74-2.75
Cu 0.0000 0.0000 0.5000 x3  6 S 2.70
S 0.0000 0.0000 0.2473 x6  3 Dy 2.75, 3 Sm 2.81
S 0.0055 0.5027 0.2458 x18  1 Cu 2.70, 2 Dy 2.74, 2 Sm 2.81

Computed properties:
The calculation puts the calculated volume at 22.79 Å³/atom. For the formation energy without anion corrections, the calculation gives -1.82 eV/atom. As for the calculated density: 6.1 g/cm3.

=====

Record 8
First-principles (PBE-GGA) data for a relaxed structure of Na4TlAg3F12, as listed in the Alexandria database.

Cell lengths 8.4810, 8.4810, 8.4810 Å; angles 90.00, 90.00, 90.00 degrees
Closest atoms and distances in Å follow each position.
Space group Im-3 (No. 204)
Inequivalent atoms, fractional coordinates:
Na 0.2500 0.2500 0.2500 x8  6 F 2.32
Tl 0.0000 0.0000 0.0000 x2  12 F 3.09
Ag 0.0000 0.0000 0.5000 x6  4 F 2.07
F 0.0000 0.1678 0.3232 x24  1 Ag 2.07

Computed properties:
The calculation puts the calculated volume at 15.25 Å³/atom. For the formation energy without anion corrections, the calculation gives -1.88 eV/atom. As for the calculated density: 4.6 g/cm3.

=====

Record 9
First-principles (PBE-GGA) data for a relaxed structure of PmTm3C, as listed in the Alexandria database.

Cell lengths 4.9845, 4.9845, 4.9845 Å; angles 90.00, 90.00, 90.00 degrees
Closest atoms and distances in Å follow each position.
Space group Pm-3m (No. 221)
Inequivalent atoms, fractional coordinates:
Pm 0.0000 0.0000 0.0000 x1  12 Tm 3.52
Tm 0.0000 0.5000 0.5000 x3  2 C 2.49
C 0.5000 0.5000 0.5000 x1  6 Tm 2.49

Computed properties:
The calculation puts the calculated volume at 24.77 Å³/atom. The calculated formation energy is -20 kJ/mol of formula units. As for the calculated density: 8.9 g/cm3.

=====

Record 10
First-principles (PBE-GGA) data for a relaxed structure of Zn4Cu3Au4, as listed in the Alexandria database.

Cell lengths 2.8911, 4.3629, 13.5542 Å; angles 81.25, 84.96, 89.57 degrees
Closest atoms and distances in Å follow each position.
Space group P-1 (No. 2)
Inequivalent atoms, fractional coordinates:
Zn 0.1841 0.1776 0.1362 x2  2 Cu 2.61, 7 Au 2.72-2.80, 2 Zn 2.89
Zn 0.2599 0.4569 0.5833 x2  2 Zn 2.52-2.80, 3 Cu 2.53-2.60, 2 Au 2.63
Cu 0.0000 0.0000 0.5000 x1  4 Zn 2.58-2.60, 2 Au 2.84, 2 Cu 2.89
Cu 0.1612 0.6273 0.2432 x2  3 Zn 2.53-2.61, 5 Au 2.73-2.81
Au 0.2811 0.2882 0.9325 x2  5 Zn 2.72-2.80, 2 Cu 2.73-2.78, 2 Au 2.89
Au 0.3955 0.9068 0.6865 x2  4 Zn 2.63-2.78, 6 Cu 2.73-2.92, 2 Au 2.89

Computed properties:
The calculation puts the calculated volume at 15.30 Å³/atom. The relative energy among the computed polymorphs is 0.015 eV per atom. The calculated formation energy is -118 kJ/mol of formula units. As for the calculated density: 12.2 g/cm3.

=====

Record 11
First-principles (PBE-GGA) data for a relaxed structure of IrSN, as listed in the Alexandria database.

Cell lengths 3.8774, 4.6053, 18.6658 Å; angles 90.00, 90.00, 90.00 degrees
Closest atoms and distances in Å follow each position.
Space group Immm (No. 71)
Inequivalent atoms, fractional coordinates:
Ir 0.0000 0.0000 0.2051 x4  4 S 2.28-2.35
S 0.0000 0.5000 0.2306 x4  4 Ir 2.28-2.35
N 0.0000 0.3791 0.5000 x4  1 N 1.11

Computed properties:
The calculation puts the calculated volume at 27.78 Å³/atom. The relative energy among the computed polymorphs is 0.142 eV per atom. For the formation energy without anion corrections, the calculation gives 0.32 eV/atom. As for the calculated density: 4.7 g/cm3.

=====

Record 12
First-principles (PBE-GGA) data for a relaxed structure of SrGdPb2, as listed in the Alexandria database.

Cell lengths 3.9431, 3.9431, 29.9933 Å; angles 90.00, 90.00, 120.00 degrees
Closest atoms and distances in Å follow each position.
Space group R-3m (No. 166, hexagonal axes)
Inequivalent atoms, fractional coordinates:
Sr 0.0000 0.0000 0.0000 x3  6 Pb 3.45
Gd 0.0000 0.0000 0.5000 x3  6 Pb 3.31
Pb 0.0000 0.0000 0.2467 x6  3 Gd 3.31, 3 Sr 3.45

Computed properties:
The calculation puts the calculated volume at 33.66 Å³/atom. The relative energy among the computed polymorphs is 0.148 eV per atom. The calculated formation energy is -141 kJ/mol of formula units. As for the calculated density: 8.1 g/cm3.

=====

no.,VASP energy (eV per atom)
1,-5.557
2,-4.648
3,-8.246
4,-2.067
5,-4.476
6,-7.330
7,-6.158
8,-3.808
9,-5.518
10,-2.883
11,-6.785
12,-6.161